Here is an optimized crystal structure of Tm6TlTe3Se2 from Alexandria. Energies are from PBE-GGA.

Calculated values
Size of the total moment   0.000 μB/atom
ΔE_f (raw)   -14.59 eV per formula unit
DOS(E_F)   5.5 states/eV/f.u.

Cell lengths 7.2917, 12.5639, 7.4147 Å; angles 90.00, 108.96, 90.00 degrees
Space group C2/m (No. 12)
Inequivalent atoms, fractional coordinates:
Tm  0.2350  0.0000  0.2240
Tm  0.2453  0.3304  0.2266
Tl  0.0000  0.5000  0.0000
Te  0.0000  0.0000  0.5000
Te  0.0000  0.3348  0.5000
Se  0.0000  0.1671  0.0000

Here is an optimized crystal structure of La2SiAsIr from Alexandria. Energies are from PBE-GGA.

Calculated values
Size of the total moment   0.000 μB/atom
ΔE_f (raw)   -3.57 eV per formula unit
DOS(E_F)   2.9 states/eV/f.u.

Cell lengths 5.6126, 5.6126, 4.4945 Å; angles 90.00, 90.00, 90.00 degrees
Space group P4/mmm (No. 123)
Inequivalent atoms, fractional coordinates:
La  0.0000  0.5000  0.0000
Si  0.0000  0.0000  0.5000
As  0.5000  0.5000  0.5000
Ir  0.0000  0.0000  0.0000

Here is an optimized crystal structure of BaTcSb4 from Alexandria. Energies are from PBE-GGA.

Calculated values
Size of the total moment   0.585 μB/atom
ΔE_f (raw)   2.48 eV per formula unit
DOS(E_F)   4.1 states/eV/f.u.

Cell lengths 8.9614, 8.9614, 8.9614 Å; angles 90.00, 90.00, 90.00 degrees
Space group F-43m (No. 216)
Inequivalent atoms, fractional coordinates:
Ba  0.0000  0.0000  0.0000
Tc  0.2500  0.2500  0.2500
Sb  0.1234  0.1234  0.6234

Here is an optimized crystal structure of TbHo2Th4 from Alexandria. Energies are from PBE-GGA.

Calculated values
Energy relative to the lowest polymorph listed for this composition   4.00 eV per formula unit
Size of the total moment   0.000 μB/atom
ΔE_f   0.892 eV/atom
DOS(E_F)   12.9 states/eV/f.u.

Cell lengths 5.7871, 5.7871, 16.1863 Å; angles 90.00, 90.00, 90.00 degrees
Space group I4/mmm (No. 139)
Inequivalent atoms, fractional coordinates:
Tb  0.0000  0.0000  0.0000
Ho  0.0000  0.0000  0.1843
Th  0.0000  0.0000  0.3951
Th  0.0000  0.5000  0.0000

Here is an optimized crystal structure of CsKMg2As from Alexandria. Energies are from PBE-GGA.

Calculated values
Size of the total moment   0.000 μB/atom
ΔE_f   0.055 eV/atom
DOS(E_F)   3.6 states/eV/f.u.

Cell lengths 5.4786, 5.4786, 6.9623 Å; angles 90.00, 90.00, 90.00 degrees
Space group P4/mmm (No. 123)
Inequivalent atoms, fractional coordinates:
Cs  0.0000  0.0000  0.0000
K  0.5000  0.5000  0.0000
Mg  0.0000  0.5000  0.5000
As  0.0000  0.0000  0.5000

Here is an optimized crystal structure of MgOF from Alexandria. Energies are from PBE-GGA.

Calculated values
Size of the total moment   0.000 μB/atom
ΔE_f (raw)   -7.53 eV per formula unit
DOS(E_F)   0.0 states/eV/f.u.

Cell lengths 4.0261, 3.1344, 5.0276 Å; angles 90.00, 95.81, 90.00 degrees
Space group P2/m (No. 10)
Inequivalent atoms, fractional coordinates:
Mg  0.0000  0.0000  0.0000
Mg  0.5000  0.5000  0.5000
O  0.1617  0.0000  0.5935
F  0.2732  0.5000  0.1401

Here is an optimized crystal structure of CuPPt2 from Alexandria. Energies are from PBE-GGA.

Calculated values
Energy relative to the lowest polymorph listed for this composition   0.05 eV per formula unit
Size of the total moment   0.000 μB/atom
ΔE_f   -0.171 eV/atom
DOS(E_F)   1.1 states/eV/f.u.

Cell lengths 3.1421, 3.9597, 9.4047 Å; angles 90.00, 90.00, 90.00 degrees
Space group Imm2 (No. 44)
Inequivalent atoms, fractional coordinates:
Cu  0.0000  0.0000  0.0000
P  0.0000  0.5000  0.7258
Pt  0.0000  0.0000  0.4132
Pt  0.0000  0.5000  0.1871

Here is an optimized crystal structure of LaEr2Th2 from Alexandria. Energies are from PBE-GGA.

Calculated values
Size of the total moment   0.000 μB/atom
ΔE_f   0.035 eV/atom
DOS(E_F)   6.8 states/eV/f.u.

Cell lengths 3.5785, 3.5785, 14.6462 Å; angles 90.00, 90.00, 120.00 degrees
Space group P-3m1 (No. 164)
Inequivalent atoms, fractional coordinates:
La  0.0000  0.0000  0.0000
Er  0.3333  0.6667  0.7980
Th  0.3333  0.6667  0.4010

Here is an optimized crystal structure of Pm2PaGe3Rh4 from Alexandria. Energies are from PBE-GGA.

Calculated values
Size of the total moment   0.000 μB/atom
ΔE_f   -0.855 eV/atom
DOS(E_F)   6.0 states/eV/f.u.

Cell lengths 4.2609, 4.2609, 10.9241 Å; angles 90.00, 90.00, 90.00 degrees
Space group P-4m2 (No. 115)
Inequivalent atoms, fractional coordinates:
Pm  0.0000  0.5000  0.2230
Pa  0.0000  0.0000  0.5000
Ge  0.0000  0.5000  0.8765
Ge  0.5000  0.5000  0.5000
Rh  0.0000  0.0000  0.0000
Rh  0.0000  0.5000  0.6491
Rh  0.5000  0.5000  0.0000

Here is an optimized crystal structure of Pm6Nd3Sm2In from Alexandria. Energies are from PBE-GGA.

Calculated values
Size of the total moment   0.000 μB/atom
ΔE_f   -0.045 eV/atom
DOS(E_F)   15.6 states/eV/f.u.

Cell lengths 6.2454, 10.8518, 11.9583 Å; angles 90.00, 100.22, 90.00 degrees
Space group C2/m (No. 12)
Inequivalent atoms, fractional coordinates:
Pm  0.2436  0.0000  0.2534
Pm  0.2436  0.1627  0.7448
Nd  0.0000  0.1689  0.0000
Nd  0.0000  0.5000  0.0000
Sm  0.0000  0.3339  0.5000
In  0.0000  0.0000  0.5000